# 1
Material: ZrCuGeAs
Method: DFT, SCAN
State: PBEsol geometry

Summary:
- E_tot: -21.97 eV per atom

```
ZrCuGeAs
1.0
-3.590 -0.516 -0.705
0.500 -3.658 0.128
-1.839 0.074 9.311
As Cu Ge Zr
2 2 2 2
Direct
0.000 0.500 0.324
0.500 0.000 0.676
0.000 0.000 0.500
0.500 0.500 0.500
0.500 0.500 0.000
0.000 0.000 0.000
0.000 0.500 0.771
0.500 0.000 0.229
```



# 2
Material: TaTcP3
Method: DFT, SCAN
State: PBEsol geometry

Summary:
- E_tot: -25.48 eV per atom

```
TaTcP3
1.0
-1.449 2.331 -3.571
-4.262 -0.654 1.302
0.155 3.798 2.416
P Tc Ta
3 1 1
Direct
0.000 0.500 0.000
0.000 0.000 0.500
0.500 0.000 0.000
0.000 0.000 0.000
0.500 0.500 0.500
```



# 3
Material: POsRh2
Method: DFT, SCAN
State: PBEsol geometry

Summary:
- E_tot: -37.30 eV per atom

```
POsRh2
1.0
-3.666 -0.671 0.050
0.061 -0.054 3.726
1.122 4.085 -1.823
Os P Rh
1 1 2
Direct
0.500 0.500 0.000
0.000 0.000 0.000
0.750 0.250 0.500
0.250 0.750 0.500
```



Q: Which of these has the highest E_tot?
A: ZrCuGeAs



Q: What is the E_tot in the third record?
A: -37.30 eV per atom